[1]
Compound: PrMg2Pb4
Source: Alexandria via LeMat-Bulk
Functional: PBE-GGA
Structure: relaxed

Geometry as POSCAR:
```
PrMg2Pb4
1.0
-0.210 3.548 -3.315
-1.021 -4.520 -4.774
-6.137 1.551 2.048
Pb Mg Pr
4 2 1
Direct
0.000 0.206 0.206
0.000 0.794 0.794
0.500 0.000 0.500
0.500 0.500 0.000
0.000 0.737 0.263
0.000 0.263 0.737
0.500 0.500 0.500
```

Properties
- ΔE_f: -0.160 eV per atom
- Volume: 209.0 Å³/cell

[2]
Compound: Pr3Mg2Pb6
Source: Alexandria via LeMat-Bulk
Functional: PBE-GGA
Structure: relaxed

Geometry as POSCAR:
```
Pr3Mg2Pb6
1.0
-1.032 -0.443 4.654
-0.107 -4.762 -0.477
15.373 1.949 1.132
Pb Pr Mg
6 3 2
Direct
0.267 0.267 0.533
0.077 0.577 0.154
0.577 0.077 0.154
0.733 0.733 0.467
0.423 0.923 0.846
0.923 0.423 0.846
0.161 0.161 0.322
0.000 0.000 0.000
0.839 0.839 0.678
0.639 0.639 0.278
0.361 0.361 0.722
```

Properties
- ΔE_f: -0.283 eV per atom
- Volume: 347.5 Å³/cell

[3]
Compound: PrMgPb6
Source: Alexandria via LeMat-Bulk
Functional: PBE-GGA
Structure: relaxed

Geometry as POSCAR:
```
PrMgPb6
1.0
4.756 0.000 0.000
0.000 7.042 -0.043
0.000 0.046 7.042
Pr Pb Mg
1 6 1
Direct
0.500 0.000 0.000
0.000 0.738 0.738
0.500 0.500 0.000
0.000 0.262 0.262
0.000 0.262 0.738
0.000 0.738 0.262
0.500 0.000 0.500
0.500 0.500 0.500
```

Properties
- ΔE_f: -0.183 eV per atom
- Volume: 235.8 Å³/cell

[4]
Compound: Pr4Mg6Pb7
Source: Alexandria via LeMat-Bulk
Functional: PBE-GGA
Structure: relaxed

Geometry as POSCAR:
```
Pr4Mg6Pb7
1.0
-2.401 6.175 -5.363
3.983 -6.153 -4.352
-6.874 -3.243 3.859
Pb Pr Mg
7 4 6
Direct
0.250 0.750 0.500
0.500 0.750 0.250
0.750 0.500 0.250
0.000 0.000 0.000
0.500 0.250 0.750
0.250 0.500 0.750
0.750 0.250 0.500
0.500 0.000 0.000
0.000 0.500 0.000
0.000 0.000 0.500
0.500 0.500 0.500
0.000 0.698 0.698
0.000 0.302 0.302
0.302 0.302 0.000
0.698 0.000 0.698
0.698 0.698 0.000
0.302 0.000 0.302
```

Properties
- ΔE_f: -0.287 eV per atom
- Volume: 476.8 Å³/cell